{"formula": "Dy2Ir2O5", "functional": "PBE", "state": "relaxed", "m_tot_mub_per_fu": 0.00, "de_polymorph_mev_per_atom": 0, "lattice": [[-5.2617, 4.4921, 1.1077], [-0.5877, -1.5608, 3.5379], [2.5150, 2.5639, 1.5489]], "species": ["Ir", "Ir", "O", "O", "O", "O", "O", "Dy", "Dy"], "fractional_positions": [[0.8094, 0.5000, 0.5000], [0.1906, 0.5000, 0.5000], [0.2502, 0.5000, 0.0000], [0.5000, 0.5000, 0.5000], [0.7498, 0.5000, 0.0000], [0.2502, 0.0000, 0.5000], [0.7498, 0.0000, 0.5000], [0.0000, 0.0000, 0.0000], [0.5000, 0.0000, 0.0000]]}

{"formula": "DyIrO4", "functional": "PBE", "state": "relaxed", "m_tot_mub_per_fu": 1.37, "dft_energy_ev_per_atom": -7.33, "lattice": [[-6.3419, 0.0468, 0.5710], [2.6277, -5.6552, -1.2890], [2.0811, 1.9033, 4.2011]], "species": ["Dy", "Dy", "O", "O", "O", "O", "O", "O", "O", "O", "Ir", "Ir"], "fractional_positions": [[0.1391, 0.8609, 0.2500], [0.8609, 0.1391, 0.7500], [0.2279, 0.3017, 0.2687], [0.1463, 0.5617, 0.8509], [0.3017, 0.2279, 0.7687], [0.6983, 0.7721, 0.2313], [0.4383, 0.8537, 0.6491], [0.5617, 0.1463, 0.3509], [0.7721, 0.6983, 0.7313], [0.8537, 0.4383, 0.1491], [0.4166, 0.5834, 0.7500], [0.5834, 0.4166, 0.2500]]}